# 1
Compound: LaPrAu
Source: Alexandria
Functional: PBE-GGA
Structure: optimized geometry

Unit cell a=5.0289 b=5.0289 c=3.9944 alpha=90.00 beta=90.00 gamma=120.00
Space group P3m1 (No. 156)
Unique sites:
La: 0.0000 0.0000 0.0000
Pr: 0.3333 0.6667 0.4130
Au: 0.6667 0.3333 0.6840

## Properties
- Energy relative to the lowest polymorph listed for this composition: 112.3 meV/atom

=====

# 2
Compound: LaPrAu2
Source: Alexandria
Functional: PBE-GGA
Structure: optimized geometry

Unit cell a=4.833 b=3.970 c=11.488 alpha=90.00 beta=90.00 gamma=90.00
Space group Amm2 (No. 38)
Unique sites:
La: 0.000 0.000 0.000
Pr: 0.500 0.000 0.273
Au: 0.000 0.000 0.722
Au: 0.500 0.000 0.549

=====

# 3
Compound: La3Pr2Au8
Source: Alexandria
Functional: PBE-GGA
Structure: optimized geometry

Unit cell a=12.182 b=10.422 c=5.485 alpha=90.00 beta=109.13 gamma=90.00
Space group C2/m (No. 12)
Unique sites:
La: 0.000 0.000 0.000
La: 0.000 0.235 0.500
Pr: 0.194 0.500 0.899
Au: 0.070 0.500 0.303
Au: 0.171 0.000 0.533
Au: 0.172 0.243 0.172

=====

# 4
Compound: LaPrAu
Source: Alexandria
Functional: PBE-GGA
Structure: optimized geometry

Unit cell a=3.794 b=3.794 c=12.655 alpha=90.00 beta=90.00 gamma=90.00
Space group I4mm (No. 107)
Unique sites:
La: 0.000 0.000 0.000
Pr: 0.000 0.000 0.288
Au: 0.000 0.000 0.646

## Properties
- Energy relative to the lowest polymorph listed for this composition: 22.7 meV/atom

=====

# 5
Compound: LaPrAu
Source: Alexandria
Functional: PBE-GGA
Structure: optimized geometry

Unit cell a=7.360 b=7.360 c=7.360 alpha=90.00 beta=90.00 gamma=90.00
Space group F-43m (No. 216)
Unique sites:
La: 0.000 0.000 0.000
Pr: 0.000 0.000 0.500
Au: 0.250 0.250 0.750

## Properties
- Energy relative to the lowest polymorph listed for this composition: 147.8 meV/atom

=====

# 6
Compound: La2Pr3Au2
Source: Alexandria
Functional: PBE-GGA
Structure: optimized geometry

Unit cell a=12.992 b=3.949 c=9.576 alpha=90.00 beta=115.08 gamma=90.00
Space group C2/m (No. 12)
Unique sites:
La: 0.156 0.000 0.315
Pr: 0.000 0.500 0.500
Pr: 0.115 0.500 0.945
Au: 0.166 0.000 0.729

=====

# 7
Compound: LaPr2Au8
Source: Alexandria
Functional: PBE-GGA
Structure: optimized geometry

Unit cell a=8.134 b=15.480 c=5.266 alpha=90.00 beta=130.17 gamma=90.00
Space group C2/m (No. 12)
Unique sites:
La: 0.000 0.000 0.000
Pr: 0.000 0.314 0.500
Au: 0.000 0.201 0.000
Au: 0.000 0.500 0.249
Au: 0.226 0.131 0.727

=====

# 8
Compound: LaPr5Au6
Source: Alexandria
Functional: PBE-GGA
Structure: optimized geometry

Unit cell a=5.332 b=7.440 c=8.398 alpha=90.00 beta=108.01 gamma=90.00
Space group P2/m (No. 10)
Unique sites:
La: 0.000 0.000 0.000
Pr: 0.000 0.500 0.000
Pr: 0.332 0.000 0.666
Pr: 0.333 0.500 0.667
Au: 0.168 0.251 0.335
Au: 0.500 0.252 0.000

=====

# 9
Compound: La2PrAu8
Source: Alexandria
Functional: PBE-GGA
Structure: optimized geometry

Unit cell a=8.113 b=15.563 c=5.302 alpha=90.00 beta=130.38 gamma=90.00
Space group C2/m (No. 12)
Unique sites:
La: 0.000 0.186 0.000
Pr: 0.000 0.500 0.500
Au: 0.000 0.300 0.500
Au: 0.002 0.000 0.752
Au: 0.226 0.371 0.230

=====

# 10
Compound: La3Pr2Au4
Source: Alexandria
Functional: PBE-GGA
Structure: optimized geometry

Unit cell a=8.935 b=8.161 c=7.536 alpha=90.00 beta=109.82 gamma=90.00
Space group P2_1/c (No. 14)
Unique sites:
La: 0.000 0.000 0.000
La: 0.263 0.164 0.762
Pr: 0.315 0.683 0.947
Au: 0.020 0.640 0.130
Au: 0.427 0.033 0.166

=====

# 11
Compound: LaPr2Au2
Source: Alexandria
Functional: PBE-GGA
Structure: optimized geometry

Unit cell a=8.512 b=8.512 c=3.974 alpha=90.00 beta=90.00 gamma=90.00
Space group P4/mbm (No. 127)
Unique sites:
La: 0.000 0.000 0.000
Pr: 0.164 0.336 0.500
Au: 0.128 0.628 0.000

## Properties
- Energy relative to the lowest polymorph listed for this composition: 0.0 meV/atom

=====

# 12
Compound: LaPrAu3
Source: Alexandria
Functional: PBE-GGA
Structure: optimized geometry

Unit cell a=18.641 b=5.606 c=5.468 alpha=90.00 beta=106.95 gamma=90.00
Space group C2/m (No. 12)
Unique sites:
La: 0.128 0.000 0.378
Pr: 0.112 0.500 0.863
Au: 0.041 0.000 0.791
Au: 0.194 0.500 0.444
Au: 0.214 0.000 0.963

## Properties
- Energy relative to the lowest polymorph listed for this composition: 104.4 meV/atom

=====

Asked for formation energy from the elements across the records above, the calculation gives -0.39 -0.81 -0.67 -0.48 -0.36 -0.45 -0.70 -0.75 -0.70 -0.68 -0.62 -0.69 eV per atom in order.
Asked for V across the records above, the calculation gives 87.5 220.4 657.9 182.2 398.6 445.1 506.6 316.9 510.0 516.9 287.9 546.7 Å³/cell in order.